This record from Alexandria describes a relaxed structure of Zn2CdTe. The functional is GGA-PBE.

- total magnetic moment (μB per cell) = 0.00
- crystal system = monoclinic
- ΔE_f (raw) (eV/atom) = 0.0538
- DOS(E_F) (states/eV/cell) = 1.06
- excess energy over the best structure of this formula in the dataset (eV per atom) = 0.040

a b c (Å): 4.135 3.901 6.037
angles (deg): 90.00 106.13 90.00
Fractional positions:
Zn  0.000  0.000  0.000
Zn  0.392  0.500  0.908
Cd  0.546  0.000  0.577
Te  0.946  0.500  0.331

This record from Alexandria describes a relaxed structure of K2TbSe2O6. The functional is GGA-PBE.

- total magnetic moment (μB per cell) = 0.00
- crystal system = monoclinic
- ΔE_f (raw) (eV/atom) = -1.5819
- DOS(E_F) (states/eV/cell) = 2.62

a b c (Å): 5.611 5.611 7.234
angles (deg): 108.07 108.07 67.48
Fractional positions:
K  0.199  0.199  0.142
K  0.801  0.801  0.858
Tb  0.000  0.000  0.500
Se  0.425  0.425  0.762
Se  0.575  0.575  0.238
O  0.225  0.728  0.253
O  0.259  0.259  0.548
O  0.272  0.775  0.747
O  0.728  0.225  0.253
O  0.741  0.741  0.452
O  0.775  0.272  0.747

This record from Alexandria describes a relaxed structure of Li2LaPrPb2. The functional is GGA-PBE.

- total magnetic moment (μB per cell) = 0.00
- E_form (eV per atom) = -0.548
- crystal system = trigonal
- DOS(E_F) (states/eV/cell) = 1.76

a b c (Å): 4.872 4.872 7.923
angles (deg): 90.00 90.00 120.00
Fractional positions:
Li  0.333  0.667  0.266
Li  0.667  0.333  0.734
La  0.000  0.000  0.000
Pr  0.000  0.000  0.500
Pb  0.333  0.667  0.747
Pb  0.667  0.333  0.253

This record from Alexandria describes a relaxed structure of YPIrCl2. The functional is GGA-PBE.

- total magnetic moment (μB per cell) = 0.00
- crystal system = tetragonal
- ΔE_f (raw) (eV/atom) = -0.2364
- DOS(E_F) (states/eV/cell) = 2.79
- excess energy over the best structure of this formula in the dataset (eV per atom) = 0.000

a b c (Å): 4.711 4.711 4.851
angles (deg): 90.00 90.00 90.00
Fractional positions:
Y  0.000  0.000  0.000
P  0.500  0.500  0.000
Ir  0.500  0.500  0.500
Cl  0.000  0.500  0.500
Cl  0.500  0.000  0.500